Material: BaNbNiIr2
Method: DFT, PBE-GGA
State: relaxed Values from VASP.

Output
**V**: 116.84 Å³ per cell
**Energy relative to the elements**: 12.6 eV/f.u.

Geometry as Quantum ESPRESSO input:
```
&SYSTEM
  ibrav = 0, nat = 5, ntyp = 4
/
ATOMIC_SPECIES
Ni 58.69 Ni.upf
Nb 92.91 Nb.upf
Ir 192.22 Ir.upf
Ba 137.33 Ba.upf
ATOMIC_POSITIONS angstrom
Ni 0.000 2.294 0.000
Nb 2.523 2.294 2.523
Ir 0.000 0.000 2.523
Ir 2.523 0.000 0.000
Ba 0.000 0.000 0.000
CELL_PARAMETERS angstrom
5.047 0.000 0.000
0.000 4.587 0.000
0.000 0.000 5.047
```

Material: Ba2NbIr3O12
Method: DFT, PBE-GGA
State: relaxed Values from VASP.

Output
**V**: 265.32 Å³ per cell
**Formation energy (no corrections)**: -2670.8 kJ/mol of formula units

Geometry as Quantum ESPRESSO input:
```
&SYSTEM
  ibrav = 0, nat = 18, ntyp = 4
/
ATOMIC_SPECIES
Ba 137.33 Ba.upf
Nb 92.91 Nb.upf
Ir 192.22 Ir.upf
O 16.00 O.upf
ATOMIC_POSITIONS angstrom
Ba 9.127 5.313 3.768
Ba 5.637 3.281 2.327
Nb 0.000 0.000 0.000
Ir 3.654 0.068 0.048
Ir 1.864 3.144 0.048
Ir 1.864 1.085 2.951
O 6.988 4.068 5.438
O 11.412 6.642 2.153
O 9.312 7.835 5.557
O 9.083 2.878 2.041
O 11.412 4.228 5.557
O 6.988 6.477 2.041
O 7.776 4.526 0.658
O 3.353 1.952 3.942
O 5.452 0.759 0.539
O 5.682 5.716 4.054
O 3.353 4.366 0.539
O 7.776 2.118 4.054
CELL_PARAMETERS angstrom
7.309 0.136 0.097
3.728 6.288 0.097
3.728 2.170 5.903
```

Material: BaNbIrPb2
Method: DFT, PBE-GGA
State: relaxed Values from VASP.

Output
**V**: 152.02 Å³ per cell
**Energy relative to the elements**: 1.2 eV/f.u.

Geometry as Quantum ESPRESSO input:
```
&SYSTEM
  ibrav = 0, nat = 5, ntyp = 4
/
ATOMIC_SPECIES
Pb 207.20 Pb.upf
Nb 92.91 Nb.upf
Ir 192.22 Ir.upf
Ba 137.33 Ba.upf
ATOMIC_POSITIONS angstrom
Pb 0.000 0.000 2.775
Pb 2.775 0.000 0.000
Nb 0.000 0.000 0.000
Ir 0.000 2.468 0.000
Ba 2.775 2.468 2.775
CELL_PARAMETERS angstrom
5.549 0.000 0.000
0.000 4.936 0.000
0.000 0.000 5.549
```

Material: BaNb2IrPd
Method: DFT, PBE-GGA
State: relaxed Values from VASP.

Output
**V**: 126.27 Å³ per cell
**Energy relative to the elements**: 13.2 eV/f.u.

Geometry as Quantum ESPRESSO input:
```
&SYSTEM
  ibrav = 0, nat = 5, ntyp = 4
/
ATOMIC_SPECIES
Nb 92.91 Nb.upf
Ir 192.22 Ir.upf
Ba 137.33 Ba.upf
Pd 106.42 Pd.upf
ATOMIC_POSITIONS angstrom
Nb 0.000 0.000 2.520
Nb 2.520 0.000 0.000
Ir 0.000 2.486 0.000
Ba 0.000 0.000 0.000
Pd 2.520 2.486 2.520
CELL_PARAMETERS angstrom
5.040 0.000 0.000
0.000 4.971 0.000
0.000 0.000 5.040
```

Material: BaNbReIr2
Method: DFT, PBE-GGA
State: relaxed Values from VASP.

Output
**V**: 122.32 Å³ per cell
**Energy relative to the elements**: 8.7 eV/f.u.

Geometry as Quantum ESPRESSO input:
```
&SYSTEM
  ibrav = 0, nat = 5, ntyp = 4
/
ATOMIC_SPECIES
Re 186.21 Re.upf
Nb 92.91 Nb.upf
Ir 192.22 Ir.upf
Ba 137.33 Ba.upf
ATOMIC_POSITIONS angstrom
Re 0.000 0.000 0.000
Nb -0.968 -4.095 0.943
Ir 1.515 -1.502 1.070
Ir -1.713 -0.632 1.537
Ba -0.769 -1.961 -1.664
CELL_PARAMETERS angstrom
-3.427 -1.265 3.073
-1.538 -3.921 -3.328
3.029 -3.005 2.141
```

Material: BaTiNb2Ir
Method: DFT, PBE-GGA
State: relaxed Values from VASP.

Output
**V**: 117.39 Å³ per cell
**Energy relative to the elements**: 4.4 eV/f.u.

Geometry as Quantum ESPRESSO input:
```
&SYSTEM
  ibrav = 0, nat = 5, ntyp = 4
/
ATOMIC_SPECIES
Nb 92.91 Nb.upf
Ir 192.22 Ir.upf
Ba 137.33 Ba.upf
Ti 47.87 Ti.upf
ATOMIC_POSITIONS angstrom
Nb -1.585 1.396 1.226
Nb -1.701 -1.739 -0.219
Ir 0.753 -1.003 2.116
Ba -2.533 -1.346 3.123
Ti 0.000 0.000 0.000
CELL_PARAMETERS angstrom
-3.403 -3.477 -0.438
1.506 -2.007 4.232
-3.170 2.793 2.452
```

Material: Ba2NbVIr
Method: DFT, PBE-GGA
State: relaxed Values from VASP.

Output
**V**: 185.50 Å³ per cell
**Energy relative to the elements**: 5.9 eV/f.u.

Geometry as Quantum ESPRESSO input:
```
&SYSTEM
  ibrav = 0, nat = 5, ntyp = 4
/
ATOMIC_SPECIES
Nb 92.91 Nb.upf
Ir 192.22 Ir.upf
Ba 137.33 Ba.upf
V 50.94 V.upf
ATOMIC_POSITIONS angstrom
Nb 0.608 -1.222 -2.030
Ir 0.000 0.000 0.000
Ba 2.075 -1.619 1.597
Ba -2.142 -2.119 0.634
V 0.542 -4.961 0.201
CELL_PARAMETERS angstrom
-4.283 -4.238 1.268
1.217 -2.445 -4.060
4.150 -3.239 3.194
```

Material: BaNdIr4
Method: DFT, PBE-GGA
State: relaxed Values from VASP.

Output
**V**: 119.21 Å³ per cell
**Energy relative to the elements**: -1.9 eV/f.u.

Geometry as Quantum ESPRESSO input:
```
&SYSTEM
  ibrav = 0, nat = 6, ntyp = 3
/
ATOMIC_SPECIES
Ir 192.22 Ir.upf
Nd 144.24 Nd.upf
Ba 137.33 Ba.upf
ATOMIC_POSITIONS angstrom
Ir 5.524 3.189 0.559
Ir 5.524 1.590 2.821
Ir 6.910 3.989 2.821
Ir 4.139 3.989 2.821
Nd 0.000 0.000 0.000
Ba 2.762 1.595 1.128
CELL_PARAMETERS angstrom
5.524 0.000 0.000
2.762 4.784 0.000
2.762 1.595 4.511
```

Material: BaNdIr
Method: DFT, PBE-GGA
State: relaxed Values from VASP.

Output
**V**: 99.31 Å³ per cell
**Energy relative to the elements**: -0.7 eV/f.u.

Geometry as Quantum ESPRESSO input:
```
&SYSTEM
  ibrav = 0, nat = 3, ntyp = 3
/
ATOMIC_SPECIES
Ir 192.22 Ir.upf
Nd 144.24 Nd.upf
Ba 137.33 Ba.upf
ATOMIC_POSITIONS angstrom
Ir 0.220 -3.704 0.447
Nd 2.854 -2.824 -0.571
Ba 0.379 -0.375 -0.076
CELL_PARAMETERS angstrom
-0.827 -1.499 3.277
-2.493 -2.190 -1.631
6.773 -3.214 -1.846
```

Material: BaNdIr2O8
Method: DFT, PBE-GGA
State: relaxed Values from VASP.

Output
**V**: 242.87 Å³ per cell
**Formation energy (no corrections)**: -1546.5 kJ/mol of formula units

Geometry as Quantum ESPRESSO input:
```
&SYSTEM
  ibrav = 0, nat = 12, ntyp = 4
/
ATOMIC_SPECIES
Ba 137.33 Ba.upf
Nd 144.24 Nd.upf
Ir 192.22 Ir.upf
O 16.00 O.upf
ATOMIC_POSITIONS angstrom
Ba 0.000 0.000 0.000
Nd 0.000 0.000 3.906
Ir 2.996 1.730 1.690
Ir 0.000 3.459 6.122
O 0.000 3.459 0.129
O 1.465 0.864 2.295
O 4.510 0.837 2.295
O 2.996 1.730 7.684
O -1.515 4.352 5.518
O 1.531 4.324 5.518
O -0.016 1.701 5.518
O 3.012 3.488 2.295
CELL_PARAMETERS angstrom
5.991 0.000 0.000
-2.996 5.189 0.000
0.000 0.000 7.813
```

Material: Ba3SrNd2Ir2O12
Method: DFT, PBE-GGA
State: relaxed Values from VASP.

Output
**V**: 312.55 Å³ per cell
**Formation energy (no corrections)**: -4363.0 kJ/mol of formula units

Geometry as Quantum ESPRESSO input:
```
&SYSTEM
  ibrav = 0, nat = 20, ntyp = 5
/
ATOMIC_SPECIES
Ba 137.33 Ba.upf
Sr 87.62 Sr.upf
Nd 144.24 Nd.upf
Ir 192.22 Ir.upf
O 16.00 O.upf
ATOMIC_POSITIONS angstrom
Ba 4.493 4.468 4.281
Ba 1.503 1.485 0.002
Ba 1.510 1.468 4.268
Sr 4.435 4.551 8.528
Nd 4.527 1.453 6.427
Nd 1.462 4.498 2.115
Ir 4.500 1.479 2.118
Ir 1.496 4.468 6.427
O 1.304 4.352 4.439
O 4.327 1.276 0.152
O 0.029 0.245 2.078
O 3.060 3.236 6.395
O 4.686 1.618 4.103
O 1.746 4.582 8.394
O 5.961 5.698 6.522
O 2.932 2.701 2.170
O 2.761 -0.044 6.217
O 5.676 3.068 1.839
O 3.259 5.966 2.317
O 0.250 2.941 6.642
CELL_PARAMETERS angstrom
6.034 0.001 0.003
-0.031 6.052 -0.018
-0.012 -0.102 8.559
```

Material: BaNi3Ir
Method: DFT, PBE-GGA
State: relaxed Values from VASP.

Output
**V**: 105.63 Å³ per cell
**Energy relative to the elements**: 2.3 eV/f.u.
**Offset from the most stable computed form**: 0 meV/atom

Geometry as Quantum ESPRESSO input:
```
&SYSTEM
  ibrav = 0, nat = 5, ntyp = 3
/
ATOMIC_SPECIES
Ni 58.69 Ni.upf
Ir 192.22 Ir.upf
Ba 137.33 Ba.upf
ATOMIC_POSITIONS angstrom
Ni 0.000 2.364 0.000
Ni 0.000 0.000 2.364
Ni 2.364 0.000 0.000
Ir 0.000 0.000 0.000
Ba 2.364 2.364 2.364
CELL_PARAMETERS angstrom
4.727 0.000 0.000
0.000 4.727 0.000
0.000 0.000 4.727
```

Material: Ba4NiIr
Method: DFT, PBE-GGA
State: relaxed Values from VASP.

Output
**V**: 212.95 Å³ per cell
**Energy relative to the elements**: 6.9 eV/f.u.

Geometry as Quantum ESPRESSO input:
```
&SYSTEM
  ibrav = 0, nat = 6, ntyp = 3
/
ATOMIC_SPECIES
Ba 137.33 Ba.upf
Ni 58.69 Ni.upf
Ir 192.22 Ir.upf
ATOMIC_POSITIONS angstrom
Ba -6.558 -6.284 -0.519
Ba -7.821 -3.916 -2.504
Ba -8.258 -3.732 0.801
Ba -5.232 -3.220 -0.514
Ni 0.000 0.000 0.000
Ir -10.451 -6.432 -1.026
CELL_PARAMETERS angstrom
-2.662 -6.152 -0.010
-6.076 -1.027 2.638
-5.197 -1.397 -3.996
```